# 1
A crystal of TaTe2As relaxed with PBEsol, computed with SCAN.

a = 3.4254 Å, b = 3.4254 Å, c = 7.1175 Å
α = 90.00°, β = 90.00°, γ = 90.00°
With the nearest neighbours (Å) after each atom.
Space group P4/mmm (No. 123)
Asymmetric unit:
1 Ta 0.0000 0.0000 0.0000 [1 per cell]  8 Te 2.92
2 Te 0.5000 0.5000 0.2284 [2 per cell]  4 Ta 2.92, 4 As 3.10, 1 Te 3.25
3 As 0.0000 0.0000 0.5000 [1 per cell]  8 Te 3.10, 4 As 3.43

# 2
A crystal of TcRu2Se relaxed with PBEsol, computed with SCAN.

a = 4.4839 Å, b = 4.4839 Å, c = 2.8317 Å
α = 90.00°, β = 90.00°, γ = 90.00°
With the nearest neighbours (Å) after each atom.
Space group P4/mmm (No. 123)
Asymmetric unit:
1 Tc 0.0000 0.0000 0.0000 [1 per cell]  8 Ru 2.65, 2 Tc 2.83
2 Ru 0.0000 0.5000 0.5000 [2 per cell]  4 Se 2.65, 4 Tc 2.65, 2 Ru 2.83
3 Se 0.5000 0.5000 0.0000 [1 per cell]  8 Ru 2.65, 2 Se 2.83

# 3
A crystal of Tm5SbPd2 relaxed with PBEsol, computed with SCAN.

a = 7.5260 Å, b = 7.5260 Å, c = 13.3053 Å
α = 90.00°, β = 90.00°, γ = 90.00°
With the nearest neighbours (Å) after each atom.
Space group I4/mcm (No. 140)
Asymmetric unit:
1 Tm 0.0000 0.0000 0.0000 [4 per cell]  4 Pd 2.92
2 Tm 0.1563 0.3437 0.1428 [16 per cell]  3 Pd 2.91, 2 Sb 3.18
3 Sb 0.0000 0.0000 0.2500 [4 per cell]  10 Tm 3.18-3.33
4 Pd 0.1362 0.3638 0.5000 [8 per cell]  1 Pd 2.90, 8 Tm 2.91-2.92

# 4
A crystal of Rb2LiNdF6 relaxed with PBEsol, computed with SCAN.

a = 8.6590 Å, b = 8.6590 Å, c = 8.6590 Å
α = 90.00°, β = 90.00°, γ = 90.00°
With the nearest neighbours (Å) after each atom.
Space group Fm-3m (No. 225)
Asymmetric unit:
1 Rb 0.2500 0.2500 0.2500 [8 per cell]  12 F 3.06
2 Li 0.0000 0.0000 0.0000 [4 per cell]  6 F 2.08
3 Nd 0.0000 0.0000 0.5000 [4 per cell]  6 F 2.25
4 F 0.0000 0.0000 0.2398 [24 per cell]  1 Li 2.08, 1 Nd 2.25

# 5
A crystal of Be2Nb2Al relaxed with PBEsol, computed with SCAN.

a = 6.1424 Å, b = 6.1424 Å, c = 3.5212 Å
α = 90.00°, β = 90.00°, γ = 90.00°
With the nearest neighbours (Å) after each atom.
Space group P4/mbm (No. 127)
Asymmetric unit:
1 Be 0.1180 0.3820 0.0000 [4 per cell]  1 Be 2.05
2 Nb 0.1769 0.6769 0.5000 [4 per cell]  6 Be 2.50-2.55
3 Al 0.0000 0.0000 0.0000 [2 per cell]  4 Be 2.46

Output
formation energy from the elements = -1.368 eV/f.u.

# 6
A crystal of MnCoTc2 relaxed with PBEsol, computed with SCAN.

a = 2.5909 Å, b = 2.5909 Å, c = 7.1822 Å
α = 90.00°, β = 90.00°, γ = 90.00°
With the nearest neighbours (Å) after each atom.
Space group P4/mmm (No. 123)
Asymmetric unit:
1 Mn 0.0000 0.0000 0.0000 [1 per cell]  8 Tc 2.55, 4 Mn 2.59
2 Co 0.0000 0.0000 0.5000 [1 per cell]  8 Tc 2.58, 4 Co 2.59
3 Tc 0.5000 0.5000 0.2476 [2 per cell]  4 Mn 2.55, 4 Co 2.58, 4 Tc 2.59

Output
energy relative to the lowest polymorph listed for this composition = 0.080 eV/atom
formation energy from the elements = 0.461 eV/f.u.

# 7
A crystal of Ca2BeTl relaxed with PBEsol, computed with SCAN.

a = 4.5154 Å, b = 3.9702 Å, c = 11.5446 Å
α = 90.00°, β = 90.00°, γ = 90.00°
With the nearest neighbours (Å) after each atom.
Space group Amm2 (No. 38)
Asymmetric unit:
1 Ca 0.0000 0.0000 0.0000 [2 per cell]  3 Tl 3.14-3.34, 4 Be 3.19
2 Ca 0.5000 0.0000 0.3000 [2 per cell]  3 Be 3.11-3.38, 4 Tl 3.18
3 Be 0.5000 0.0000 0.5928 [2 per cell]  2 Tl 2.64
4 Tl 0.0000 0.0000 0.7106 [2 per cell]  2 Be 2.64

Output
formation energy from the elements = -0.573 eV/f.u.

# 8
A crystal of Al3SeS relaxed with PBEsol, computed with SCAN.

a = 4.7605 Å, b = 4.7605 Å, c = 4.7605 Å
α = 90.00°, β = 90.00°, γ = 90.00°
With the nearest neighbours (Å) after each atom.
Space group Pm-3m (No. 221)
Asymmetric unit:
1 Al 0.0000 0.0000 0.5000 [3 per cell]  2 S 2.38
2 Se 0.5000 0.5000 0.5000 [1 per cell]  12 Al 3.37
3 S 0.0000 0.0000 0.0000 [1 per cell]  6 Al 2.38

# 9
A crystal of VCrCuS4 relaxed with PBEsol, computed with SCAN.

a = 6.6702 Å, b = 6.9817 Å, c = 9.7753 Å
α = 90.00°, β = 90.00°, γ = 90.00°
With the nearest neighbours (Å) after each atom.
Space group Imma (No. 74)
Asymmetric unit:
1 V 0.2500 0.2500 0.2500 [4 per cell]  6 S 2.36
2 Cr 0.0000 0.0000 0.0000 [4 per cell]  6 S 2.36
3 Cu 0.0000 0.2500 0.6294 [4 per cell]  4 S 2.21
4 S 0.0000 0.0101 0.2417 [8 per cell]  1 Cu 2.21, 1 Cr 2.36, 2 V 2.36
5 S 0.2373 0.2500 0.0089 [8 per cell]  1 Cu 2.21, 2 Cr 2.36, 1 V 2.36

# 10
A crystal of CsK3Pb relaxed with PBEsol, computed with SCAN.

a = 6.9000 Å, b = 6.9000 Å, c = 6.9000 Å
α = 90.00°, β = 90.00°, γ = 90.00°
With the nearest neighbours (Å) after each atom.
Space group Pm-3m (No. 221)
Asymmetric unit:
1 Cs 0.0000 0.0000 0.0000 [1 per cell]  12 K 4.88
2 K 0.0000 0.5000 0.5000 [3 per cell]  2 Pb 3.45
3 Pb 0.5000 0.5000 0.5000 [1 per cell]  6 K 3.45

Output
formation energy from the elements = -0.518 eV/f.u.

# 11
A crystal of RuPtN2F relaxed with PBEsol, computed with SCAN.

a = 3.8180 Å, b = 3.8180 Å, c = 3.9278 Å
α = 90.00°, β = 90.00°, γ = 90.00°
With the nearest neighbours (Å) after each atom.
Space group P4/mmm (No. 123)
Asymmetric unit:
1 Ru 0.0000 0.0000 0.0000 [1 per cell]  4 N 1.91, 2 F 1.96
2 Pt 0.5000 0.5000 0.5000 [1 per cell]  4 F 2.70, 8 N 2.74
3 N 0.0000 0.5000 0.0000 [2 per cell]  2 Ru 1.91
4 F 0.0000 0.0000 0.5000 [1 per cell]  2 Ru 1.96

# 12
A crystal of CsMnSi2 relaxed with PBEsol, computed with SCAN.

a = 6.3731 Å, b = 6.3731 Å, c = 11.6323 Å
α = 90.00°, β = 90.00°, γ = 90.00°
With the nearest neighbours (Å) after each atom.
Space group I4_1/amd (No. 141, origin choice 2)
Asymmetric unit:
1 Cs 0.0000 0.2500 0.3750 [4 per cell]  8 Si 3.85
2 Mn 0.0000 0.2500 0.8750 [4 per cell]  4 Si 2.16
3 Si 0.0000 0.0000 0.0000 [8 per cell]  2 Mn 2.16

Output
energy relative to the lowest polymorph listed for this composition = 0.000 eV/atom

# 13
A crystal of TlTcSb2 relaxed with PBEsol, computed with SCAN.

a = 3.2485 Å, b = 3.2485 Å, c = 8.4275 Å
α = 90.00°, β = 90.00°, γ = 90.00°
With the nearest neighbours (Å) after each atom.
Space group P4/mmm (No. 123)
Asymmetric unit:
1 Tl 0.0000 0.0000 0.0000 [1 per cell]  4 Tl 3.25, 8 Sb 3.47
2 Tc 0.0000 0.0000 0.5000 [1 per cell]  8 Sb 2.80
3 Sb 0.5000 0.5000 0.3093 [2 per cell]  4 Tc 2.80

Output
energy relative to the lowest polymorph listed for this composition = 0.000 eV/atom

# 14
A crystal of CrAu2C2 relaxed with PBEsol, computed with SCAN.

a = 2.5890 Å, b = 2.5890 Å, c = 17.4062 Å
α = 90.00°, β = 90.00°, γ = 90.00°
With the nearest neighbours (Å) after each atom.
Space group I4/mmm (No. 139)
Asymmetric unit:
1 Cr 0.0000 0.0000 0.0000 [2 per cell]  4 Cr 2.59, 8 Au 2.73
2 Au 0.0000 0.0000 0.3838 [4 per cell]  4 Au 2.59, 4 C 2.66, 4 Cr 2.73
3 C 0.0000 0.5000 0.2500 [4 per cell]  4 C 1.83

Output
formation energy from the elements = 8.078 eV/f.u.

# 15
A crystal of CaBeBr2 relaxed with PBEsol, computed with SCAN.

a = 3.5649 Å, b = 3.5644 Å, c = 8.6142 Å
α = 90.00°, β = 90.21°, γ = 90.00°
With the nearest neighbours (Å) after each atom.
Space group P2/m (No. 10)
Asymmetric unit:
1 Ca 0.0000 0.0000 0.0000 [1 per cell]  8 Br 3.02-3.03
2 Be 0.0000 0.0000 0.5000 [1 per cell]  4 Be 3.56, 8 Br 3.64-3.65
3 Br 0.4979 0.5000 0.8058 [2 per cell]  4 Ca 3.02-3.03, 1 Br 3.35

Output
energy relative to the lowest polymorph listed for this composition = 0.000 eV/atom

# 16
A crystal of LiMo3P relaxed with PBEsol, computed with SCAN.

a = 4.1061 Å, b = 4.1061 Å, c = 4.1061 Å
α = 90.00°, β = 90.00°, γ = 90.00°
With the nearest neighbours (Å) after each atom.
Space group Pm-3m (No. 221)
Asymmetric unit:
1 Li 0.0000 0.0000 0.0000 [1 per cell]  6 Mo 2.05
2 Mo 0.0000 0.0000 0.5000 [3 per cell]  2 Li 2.05
3 P 0.5000 0.5000 0.5000 [1 per cell]  12 Mo 2.90

Output
formation energy from the elements = 6.979 eV/f.u.

# 17
A crystal of Ba2MgRe relaxed with PBEsol, computed with SCAN.

a = 7.5378 Å, b = 7.5378 Å, c = 7.5378 Å
α = 90.00°, β = 90.00°, γ = 90.00°
With the nearest neighbours (Å) after each atom.
Space group F-43m (No. 216)
Asymmetric unit:
1 Ba 0.0000 0.0000 0.0000 [4 per cell]  4 Ba 3.26, 4 Re 3.26
2 Ba 0.2500 0.2500 0.2500 [4 per cell]  4 Ba 3.26, 4 Mg 3.26
3 Mg 0.0000 0.0000 0.5000 [4 per cell]  4 Ba 3.26, 4 Re 3.26
4 Re 0.2500 0.2500 0.7500 [4 per cell]  4 Ba 3.26, 4 Mg 3.26

Output
formation energy from the elements = 4.044 eV/f.u.

# 18
A crystal of SrCaAl4 relaxed with PBEsol, computed with SCAN.

a = 8.0767 Å, b = 8.0767 Å, c = 8.0767 Å
α = 90.00°, β = 90.00°, γ = 90.00°
With the nearest neighbours (Å) after each atom.
Space group F-43m (No. 216)
Asymmetric unit:
1 Sr 0.0000 0.0000 0.0000 [4 per cell]  12 Al 3.35, 4 Ca 3.50
2 Ca 0.2500 0.2500 0.7500 [4 per cell]  12 Al 3.35, 4 Sr 3.50
3 Al 0.1249 0.1249 0.3751 [16 per cell]  6 Al 2.85-2.86

Output
formation energy from the elements = -1.736 eV/f.u.

# 19
A crystal of TlTcAs2 relaxed with PBEsol, computed with SCAN.

a = 3.6123 Å, b = 4.4272 Å, c = 5.1901 Å
α = 90.00°, β = 104.49°, γ = 90.00°
With the nearest neighbours (Å) after each atom.
Space group P2/m (No. 10)
Asymmetric unit:
1 Tl 0.0000 0.0000 0.0000 [1 per cell]  2 Tc 2.77
2 Tc 0.5000 0.0000 0.5000 [1 per cell]  4 As 2.54, 2 Tl 2.77
3 As 0.3181 0.5000 0.6756 [2 per cell]  2 As 2.50-2.55, 2 Tc 2.54

Output
energy relative to the lowest polymorph listed for this composition = 0.383 eV/atom
formation energy from the elements = 1.539 eV/f.u.

# 20
A crystal of Rb2CuCl relaxed with PBEsol, computed with SCAN.

a = 7.9514 Å, b = 7.9514 Å, c = 7.9514 Å
α = 90.00°, β = 90.00°, γ = 90.00°
With the nearest neighbours (Å) after each atom.
Space group Fm-3m (No. 225)
Asymmetric unit:
1 Rb 0.2500 0.2500 0.2500 [8 per cell]  4 Cl 3.44, 4 Cu 3.44
2 Cu 0.0000 0.0000 0.0000 [4 per cell]  8 Rb 3.44
3 Cl 0.0000 0.0000 0.5000 [4 per cell]  8 Rb 3.44

# 21
A crystal of Ca3TcN relaxed with PBEsol, computed with SCAN.

a = 4.7708 Å, b = 4.7708 Å, c = 4.7708 Å
α = 90.00°, β = 90.00°, γ = 90.00°
With the nearest neighbours (Å) after each atom.
Space group Pm-3m (No. 221)
Asymmetric unit:
1 Ca 0.0000 0.0000 0.5000 [3 per cell]  2 N 2.39
2 Tc 0.5000 0.5000 0.5000 [1 per cell]  12 Ca 3.37
3 N 0.0000 0.0000 0.0000 [1 per cell]  6 Ca 2.39

# 22
A crystal of HAu2S relaxed with PBEsol, computed with SCAN.

a = 4.7943 Å, b = 4.7943 Å, c = 10.6899 Å
α = 90.00°, β = 90.00°, γ = 90.00°
With the nearest neighbours (Å) after each atom.
Space group I-42d (No. 122)
Asymmetric unit:
1 H 0.0000 0.0000 0.0000 [4 per cell]  4 Au 1.95
2 Au 0.1584 0.2500 0.1250 [8 per cell]  2 H 1.95
3 S 0.0000 0.0000 0.5000 [4 per cell]  4 Au 2.43

# 23
A crystal of ZnSiRh2 relaxed with PBEsol, computed with SCAN.

a = 2.8469 Å, b = 3.8324 Å, c = 9.9927 Å
α = 90.00°, β = 90.00°, γ = 90.00°
With the nearest neighbours (Å) after each atom.
Space group Imm2 (No. 44)
Asymmetric unit:
1 Zn 0.0000 0.0000 0.0000 [2 per cell]  6 Rh 2.51-2.64, 2 Si 2.77
2 Si 0.0000 0.5000 0.7383 [2 per cell]  6 Rh 2.32-2.45
3 Rh 0.0000 0.0000 0.4218 [2 per cell]  2 Si 2.32, 4 Zn 2.51
4 Rh 0.0000 0.5000 0.1821 [2 per cell]  4 Si 2.45, 2 Zn 2.64

Output
energy relative to the lowest polymorph listed for this composition = 0.195 eV/atom

# 24
A crystal of Ba4Nd4Zn3PtO15 relaxed with PBEsol, computed with SCAN.

a = 11.6941 Å, b = 11.6941 Å, c = 6.7557 Å
α = 90.00°, β = 90.00°, γ = 120.00°
With the nearest neighbours (Å) after each atom.
Space group P6_3mc (No. 186)
Asymmetric unit:
1 Ba 0.1726 0.3452 0.0000 [6 per cell]  7 O 2.75-2.95
2 Ba 0.3333 0.6667 0.6831 [2 per cell]  6 O 2.73-2.90
3 Nd 0.0000 0.0000 0.1721 [2 per cell]  6 O 2.31-2.48
4 Nd 0.0467 0.5234 0.3465 [6 per cell]  7 O 2.33-2.56
5 Zn 0.1710 0.3419 0.5165 [6 per cell]  4 O 1.92-2.05
6 Pt 0.3333 0.6667 0.1601 [2 per cell]  6 O 2.00-2.03
7 O 0.0574 0.3947 0.6448 [12 per cell]  1 Zn 1.93
8 O 0.0840 0.1679 0.4044 [6 per cell]  1 Zn 1.92
9 O 0.1663 0.5831 0.0008 [6 per cell]  1 Pt 2.00
10 O 0.2511 0.5022 0.3324 [6 per cell]  1 Pt 2.03, 1 Zn 2.05

We obtain DFT total energy values of -40.124, -30.688, -46.131, -14.358, -16.817, -26.305, -24.153, -10.173, -13.750, -27.819, -24.599, -18.768, -45.460, -33.764, -13.878, -22.093, -37.782, -10.780, -36.565, -16.882, -14.640, -37.553, -23.348, -22.595 eV per atom for the records listed above, in that order.
We obtain size of the total moment values of 0.00, 0.54, 0.00, 0.00, 0.00, 0.04, 0.00, 0.00, 0.58, 0.01, 0.00, 0.35, 0.00, 0.00, 0.00, 0.00, 0.41, 0.00, 0.00, 0.03, 0.71, 0.00, 0.00, 0.00 μB per atom for the records listed above, in that order.